1.
Entry from the Alexandria database: a relaxed structure of LaTl3Zn (PBE).

The structure belongs to space group Pm-3m (No. 221); the cell edges are 5.2979, 5.2979 and 5.2979 Å and the angles 90.00°, 90.00° and 90.00°. The inequivalent atoms are La at (0.0000, 0.0000, 0.0000), Tl at (0.0000, 0.5000, 0.5000) and Zn at (0.5000, 0.5000, 0.5000).

The total magnetization is 0.000 μB per formula unit. The value obtained for the total energy is -2.617 eV/atom. The formation energy is 0.04 eV/atom. For the distance to the lowest polymorph of the same formula, the calculation gives 0.000 eV per atom.

---

2.
Entry from the Alexandria database: a relaxed structure of Ac2La4TbPm (PBE).

The structure belongs to space group P2/m (No. 10); the cell edges are 5.3031, 5.3507 and 10.6856 Å and the angles 90.00°, 90.12° and 90.00°. The inequivalent atoms are Ac at (0.0000, 0.0000, 0.0000), Ac at (0.5000, 0.5000, 0.5000), La at (0.0006, 0.5000, 0.7498), La at (0.4993, 0.0000, 0.7482), Tb at (0.0000, 0.0000, 0.5000) and Pm at (0.5000, 0.5000, 0.0000).

The total magnetization is 0.000 μB per formula unit. The value obtained for the total energy is -4.632 eV/atom. The formation energy is 0.03 eV/atom.

---

3.
Entry from the Alexandria database: a relaxed structure of BiSbAsRu2 (PBE).

The structure belongs to space group P4/mmm (No. 123); the cell edges are 5.0090, 5.0090 and 5.7723 Å and the angles 90.00°, 90.00° and 90.00°. The inequivalent atoms are Bi at (0.0000, 0.0000, 0.0000), Sb at (0.0000, 0.0000, 0.5000), As at (0.5000, 0.5000, 0.5000) and Ru at (0.0000, 0.5000, 0.0000).

The energy relative to the elements, uncorrected is 178 kJ/mol of atoms. The total magnetization is 2.306 μB per formula unit. The value obtained for the total energy is -4.399 eV/atom.